VASP calculation (GGA-PBE) on a relaxed AcCd4Pt2 crystal.

Lattice parameters (Å, degrees): 8.5215 8.5215 4.3988 90.00 90.00 90.00
Fractional positions:
Ac 0.0000 0.0000 0.0000
Ac 0.5000 0.5000 0.5000
Cd 0.0964 0.3439 0.5000
Cd 0.1561 0.5964 0.0000
Cd 0.3439 0.0964 0.5000
Cd 0.4036 0.8439 0.0000
Cd 0.5964 0.1561 0.0000
Cd 0.6561 0.9036 0.5000
Cd 0.8439 0.4036 0.0000
Cd 0.9036 0.6561 0.5000
Pt 0.1958 0.8042 0.5000
Pt 0.3042 0.3042 0.0000
Pt 0.6958 0.6958 0.0000
Pt 0.8042 0.1958 0.5000

## Properties
Energy relative to the elements ... -0.555 eV per atom
Symmetry ... P4_2/mnm
Volume ... 22.816 Å³/atom
Fermi-level density of states ... 0.486 states/eV per atom

VASP calculation (GGA-PBE) on a relaxed InAgSb crystal.

Lattice parameters (Å, degrees): 4.4814 4.4908 14.6071 90.00 90.00 90.00
Fractional positions:
In 0.0000 0.0000 0.0000
In 0.0000 0.5000 0.5000
In 0.5000 0.0000 0.5000
In 0.5000 0.5000 0.0000
Ag 0.0000 0.0000 0.6515
Ag 0.0000 0.5000 0.1515
Ag 0.5000 0.0000 0.1515
Ag 0.5000 0.5000 0.6515
Sb 0.0000 0.0000 0.2978
Sb 0.0000 0.5000 0.7978
Sb 0.5000 0.0000 0.7978
Sb 0.5000 0.5000 0.2978

## Properties
Symmetry ... Fmm2
Volume ... 24.497 Å³/atom
Fermi-level density of states ... 0.266 states/eV per atom
Excess energy over the best structure of this formula in the dataset ... 41.5 meV/atom

VASP calculation (GGA-PBE) on a relaxed KSrSe2 crystal.

Lattice parameters (Å, degrees): 4.4737 4.4737 11.7770 90.00 90.00 90.00
Fractional positions:
K 0.0000 0.0000 0.0000
K 0.5000 0.5000 0.5000
Sr 0.0000 0.5000 0.2500
Sr 0.5000 0.0000 0.7500
Se 0.0000 0.0000 0.5000
Se 0.0000 0.5000 0.7500
Se 0.5000 0.0000 0.2500
Se 0.5000 0.5000 0.0000

## Properties
Symmetry ... I-4m2
Volume ... 29.464 Å³/atom
Fermi-level density of states ... 0.831 states/eV per atom
Calculated total energy ... -3.5521 eV per atom

VASP calculation (GGA-PBE) on a relaxed AsPdF2 crystal.

Lattice parameters (Å, degrees): 2.8796 2.8796 23.5226 90.00 90.00 120.00
Fractional positions:
As 0.0000 0.0000 0.0000
As 0.3333 0.6667 0.6667
As 0.6667 0.3333 0.3333
Pd 0.0000 0.0000 0.5000
Pd 0.3333 0.6667 0.1667
Pd 0.6667 0.3333 0.8333
F 0.0000 0.0000 0.4132
F 0.0000 0.0000 0.5868
F 0.3333 0.6667 0.0799
F 0.3333 0.6667 0.2534
F 0.6667 0.3333 0.7466
F 0.6667 0.3333 0.9201

## Properties
Symmetry ... R-3m
Volume ... 14.076 Å³/atom
Fermi-level density of states ... 0.799 states/eV per atom
Excess energy over the best structure of this formula in the dataset ... 94.4 meV/atom